NdTh2Sc2 | PBE | optimized geometry

Cell and atoms, written as CIF:
```
data_NdTh2Sc2
_chemical_formula_sum 'Nd4 Th8 Sc8'
_symmetry_space_group_name_H-M 'P 1 21/c 1'
_symmetry_Int_Tables_number 14
_cell_length_a 14.304
_cell_length_b 6.883
_cell_length_c 6.081
_cell_angle_alpha 90.00
_cell_angle_beta 98.58
_cell_angle_gamma 90.00
loop_
_symmetry_equiv_pos_as_xyz
'x,y,z'
'-x,-y,-z'
'-x,y+1/2,-z+1/2'
'x,-y+1/2,z+1/2'
loop_
_atom_site_label
_atom_site_fract_x
_atom_site_fract_y
_atom_site_fract_z
Nd1 0.202 0.120 0.147
Th1 0.004 0.624 0.758
Th2 0.405 0.125 0.558
Sc1 0.202 0.629 0.154
Sc2 0.402 0.630 0.541
```

## Properties
- volume (A^3/atom) = 29.603
- energy of formation (eV/atom) = 0.06
- raw total energy (eV per atom) = -6.392

=====

Nd5ThSc | PBE | optimized geometry

Cell and atoms, written as CIF:
```
data_Nd5ThSc
_chemical_formula_sum 'Nd5 Th1 Sc1'
_symmetry_space_group_name_H-M 'P -1'
_symmetry_Int_Tables_number 2
_cell_length_a 6.213
_cell_length_b 6.215
_cell_length_c 6.946
_cell_angle_alpha 98.96
_cell_angle_beta 98.87
_cell_angle_gamma 109.73
loop_
_symmetry_equiv_pos_as_xyz
'x,y,z'
'-x,-y,-z'
loop_
_atom_site_label
_atom_site_fract_x
_atom_site_fract_y
_atom_site_fract_z
Nd1 0.000 0.000 0.000
Nd2 0.029 0.589 0.272
Nd3 0.412 0.971 0.728
Th1 0.500 0.500 0.000
Sc1 0.500 0.500 0.500
```

## Properties
- volume (A^3/atom) = 34.737
- energy of formation (eV/atom) = 0.23
- raw total energy (eV per atom) = -5.141

=====

NdThScTl | PBE | optimized geometry

Cell and atoms, written as CIF:
```
data_NdThScTl
_chemical_formula_sum 'Nd4 Th4 Sc4 Tl4'
_symmetry_space_group_name_H-M 'F -4 3 m'
_symmetry_Int_Tables_number 216
_symmetry_space_group_name_Hall 'F -4 2 3'
_cell_length_a 7.758
_cell_length_b 7.758
_cell_length_c 7.758
_cell_angle_alpha 90.00
_cell_angle_beta 90.00
_cell_angle_gamma 90.00
loop_
_atom_site_label
_atom_site_fract_x
_atom_site_fract_y
_atom_site_fract_z
Nd1 0.000 0.000 0.000
Th1 0.000 0.000 0.500
Sc1 0.250 0.250 0.750
Tl1 0.250 0.250 0.250
```

## Properties
- volume (A^3/atom) = 29.187
- energy of formation (eV/atom) = 0.02
- raw total energy (eV per atom) = -5.201

=====

Nd3Tm6Th2Sc | PBE | optimized geometry

Cell and atoms, written as CIF:
```
data_Nd3Tm6Th2Sc
_chemical_formula_sum 'Nd6 Tm12 Th4 Sc2'
_symmetry_space_group_name_H-M 'C 1 2/m 1'
_symmetry_Int_Tables_number 12
_cell_length_a 6.114
_cell_length_b 10.584
_cell_length_c 11.678
_cell_angle_alpha 90.00
_cell_angle_beta 100.06
_cell_angle_gamma 90.00
loop_
_symmetry_equiv_pos_as_xyz
'x,y,z'
'-x,-y,-z'
'-x,y,-z'
'x,-y,z'
'x+1/2,y+1/2,z'
'-x+1/2,-y+1/2,-z'
'-x+1/2,y+1/2,-z'
'x+1/2,-y+1/2,z'
loop_
_atom_site_label
_atom_site_fract_x
_atom_site_fract_y
_atom_site_fract_z
Nd1 0.000 0.000 0.000
Nd2 0.000 0.334 0.000
Tm1 0.247 0.000 0.744
Tm2 0.248 0.333 0.744
Th1 0.000 0.167 0.500
Sc1 0.000 0.500 0.500
```

## Properties
- volume (A^3/atom) = 31.004
- energy of formation (eV/atom) = 0.02
- raw total energy (eV per atom) = -5.169

=====

Nd3Y6ThSc2 | PBE | optimized geometry

Cell and atoms, written as CIF:
```
data_Nd3Y6ThSc2
_chemical_formula_sum 'Nd6 Y12 Th2 Sc4'
_symmetry_space_group_name_H-M 'C 1 2/m 1'
_symmetry_Int_Tables_number 12
_cell_length_a 6.133
_cell_length_b 10.624
_cell_length_c 11.807
_cell_angle_alpha 90.00
_cell_angle_beta 99.99
_cell_angle_gamma 90.00
loop_
_symmetry_equiv_pos_as_xyz
'x,y,z'
'-x,-y,-z'
'-x,y,-z'
'x,-y,z'
'x+1/2,y+1/2,z'
'-x+1/2,-y+1/2,-z'
'-x+1/2,y+1/2,-z'
'x+1/2,-y+1/2,z'
loop_
_atom_site_label
_atom_site_fract_x
_atom_site_fract_y
_atom_site_fract_z
Nd1 0.000 0.000 0.000
Nd2 0.000 0.333 0.000
Y1 0.248 0.000 0.742
Y2 0.248 0.334 0.742
Th1 0.000 0.500 0.500
Sc1 0.000 0.167 0.500
```

## Properties
- volume (A^3/atom) = 31.568
- energy of formation (eV/atom) = 0.04
- raw total energy (eV per atom) = -6.056

=====

NdY2ThSc | PBE | optimized geometry

Cell and atoms, written as CIF:
```
data_NdY2ThSc
_chemical_formula_sum 'Nd2 Y4 Th2 Sc2'
_symmetry_space_group_name_H-M 'P 1 21/m 1'
_symmetry_Int_Tables_number 11
_cell_length_a 6.210
_cell_length_b 5.704
_cell_length_c 9.431
_cell_angle_alpha 90.00
_cell_angle_beta 108.90
_cell_angle_gamma 90.00
loop_
_symmetry_equiv_pos_as_xyz
'x,y,z'
'-x,-y,-z'
'-x,y+1/2,-z'
'x,-y+1/2,z'
loop_
_atom_site_label
_atom_site_fract_x
_atom_site_fract_y
_atom_site_fract_z
Nd1 0.232 0.250 0.308
Y1 0.039 0.250 0.896
Y2 0.423 0.250 0.695
Th1 0.378 0.750 0.903
Sc1 0.162 0.750 0.509
```

## Properties
- volume (A^3/atom) = 31.610
- energy of formation (eV/atom) = 0.06
- raw total energy (eV per atom) = -6.234